Ce2LuRh: relaxed, PBE-GGA.

Geometry as extended XYZ:
```
4
Lattice="3.700 0.000 0.000 0.000 3.700 0.000 0.000 0.000 7.354" Properties=species:S:1:pos:R:3 pbc="T T T"
Lu 1.850 1.850 3.677
Ce 0.000 0.000 1.450
Ce 0.000 0.000 5.904
Rh 1.850 1.850 0.000
```

## Properties
The value obtained for the energy of formation from the pure elements is -275 meV/atom. Its magnetization is 0.8 Bohr magnetons per cell. The mass density is 9.203 g cm⁻³. For the density of states at the Fermi level, the calculation gives 2.200 states/eV per atom.